# PBE with a Hubbard U TaMnVO6, optimized geometry
data_TaMnVO6
_cell_length_a 5.1055
_cell_length_b 5.1055
_cell_length_c 9.3249
_cell_angle_alpha 90.00
_cell_angle_beta 90.00
_cell_angle_gamma 120.00
_space_group_name_H-M_alt 'P -3 1 c'
_space_group_IT_number 163
_space_group_name_Hall '-P 3 2c'
loop_
_atom_site_label
_atom_site_type_symbol
_atom_site_fract_x
_atom_site_fract_y
_atom_site_fract_z
Ta1 Ta 0.3333 0.6667 0.2500
Mn1 Mn 0.0000 0.0000 0.0000
V1 V 0.3333 0.6667 0.7500
O1 O 0.0132 0.3647 0.6367
# DFT total energy = -8.465 eV/atom

***

# PBE with a Hubbard U TaMnV2O8, optimized geometry
data_TaMnV2O8
_cell_length_a 4.713
_cell_length_b 5.932
_cell_length_c 4.719
_cell_angle_alpha 90.00
_cell_angle_beta 91.24
_cell_angle_gamma 90.00
_space_group_name_H-M_alt 'P 1 2/m 1'
_space_group_IT_number 10
_space_group_name_Hall '-P 2y'
loop_
_atom_site_label
_atom_site_type_symbol
_atom_site_fract_x
_atom_site_fract_y
_atom_site_fract_z
Ta1 Ta 0.000 0.000 0.000
Mn1 Mn 0.000 0.500 0.000
V1 V 0.500 0.261 0.500
O1 O 0.199 0.250 0.198
O2 O 0.302 0.000 0.697
O3 O 0.313 0.500 0.686
# DFT total energy = -8.270 eV/atom